1.
## YPt (GGA-PBE)

Data for YPt after structural relaxation.

The magnetic moment comes out at 0.00 μB/cell. Its formation energy is -481 meV per atom.

The structure belongs to space group F-43m (No. 216); the cell edges are 6.3589, 6.3589 and 6.3589 Å and the angles 90.00°, 90.00° and 90.00°. The distinct sites, in fractional coordinates, are Y at (0.0000, 0.0000, 0.0000) and Pt at (0.2500, 0.2500, 0.2500).

***

2.
## YPt5 (GGA-PBE)

Data for YPt5 after structural relaxation.

The magnetic moment comes out at 0.00 μB/cell. Its formation energy is -601 meV per atom.

The structure belongs to space group C2/m (No. 12); the cell edges are 9.0504, 4.1085 and 5.7739 Å and the angles 90.00°, 107.32° and 90.00°. The distinct sites, in fractional coordinates, are Y at (0.0000, 0.0000, 0.0000), Pt at (0.0000, 0.0000, 0.5000), Pt at (0.1647, 0.5000, 0.8147) and Pt at (0.1695, 0.5000, 0.3324).

***

3.
## Y5Pt2 (GGA-PBE)

Data for Y5Pt2 after structural relaxation.

The magnetic moment comes out at 0.00 μB/cell. Its formation energy is -808 meV per atom.

The structure belongs to space group C2/c (No. 15); the cell edges are 16.4292, 6.6089 and 7.0970 Å and the angles 90.00°, 96.66° and 90.00°. The distinct sites, in fractional coordinates, are Y at (0.0000, 0.0642, 0.2500), Y at (0.0945, 0.3865, 0.9255), Y at (0.2199, 0.0660, 0.3119) and Pt at (0.1114, 0.2093, 0.5709).